Density functional theory data (PBE) for a relaxed structure of La2PrSn.

```
La2PrSn
1.0
5.0093 0.0000 0.0000
0.0000 5.0093 0.0000
0.0000 0.0000 5.0296
La Pr Sn
2 1 1
Direct
0.5000 0.0000 0.5000
0.0000 0.5000 0.5000
0.0000 0.0000 0.0000
0.5000 0.5000 0.0000
```

Values from the calculation:
The value obtained for the uncorrected energy is -20.5 eV/cell. For the total magnetization, the calculation gives 0.1 Bohr magnetons per cell. As for the crystal system: tetragonal.